A geometry-optimized Er2MoF11 structure, computed with PBE with a Hubbard U.

POSCAR file:
```
Er2MoF11
1.0
6.975 0.000 3.636
3.273 7.258 2.230
0.127 -0.223 8.264
F Mo Er
22 2 4
Direct
0.240 0.508 0.190
0.151 0.081 0.210
0.938 0.810 0.492
0.000 0.000 0.000
0.942 0.419 0.290
0.628 0.280 0.720
0.562 0.008 0.690
0.438 0.992 0.310
0.651 0.710 0.581
0.740 0.690 0.008
0.372 0.720 0.280
0.260 0.310 0.992
0.128 0.220 0.780
0.349 0.290 0.419
0.500 0.500 0.500
0.058 0.581 0.710
0.872 0.780 0.220
0.760 0.492 0.810
0.442 0.790 0.919
0.558 0.210 0.081
0.062 0.190 0.508
0.849 0.919 0.790
0.250 0.250 0.250
0.750 0.750 0.750
0.862 0.181 0.819
0.638 0.681 0.319
0.362 0.319 0.681
0.138 0.819 0.181
```

## Properties
Energy ... -5.947 eV/atom
SG ... Ibam, No. 72